1.
## KInPd (GGA-PBE)

Data for a relaxed structure of KInPd.

As for the calculated formation energy: -0.28 eV/atom.

It has space group P4/nmm (No. 129, origin choice 2), with a = 4.8033 Å, b = 4.8033 Å, c = 7.8572 Å, α = 90.00°, β = 90.00° and γ = 90.00°. The distinct sites, in fractional coordinates, are K at (0.2500, 0.2500, 0.1718), In at (0.2500, 0.2500, 0.6641) and Pd at (0.2500, 0.7500, 0.5000).


2.
## Tm2ZnCo2Ni5 (GGA-PBE)

Data for a relaxed structure of Tm2ZnCo2Ni5.

As for the calculated formation energy: -0.22 eV/atom.

It has space group P4/mbm (No. 127), with a = 8.6384 Å, b = 8.6384 Å, c = 3.7633 Å, α = 90.00°, β = 90.00° and γ = 90.00°. The distinct sites, in fractional coordinates, are Tm at (0.1784, 0.3216, 0.0000), Zn at (0.0000, 0.0000, 0.0000), Co at (0.1179, 0.6179, 0.0000), Ni at (0.0000, 0.5000, 0.5000) and Ni at (0.0628, 0.7928, 0.5000).


3.
## GaAgAsAuCl (GGA-PBE)

Data for a relaxed structure of GaAgAsAuCl.

For the energy relative to the lowest polymorph listed for this composition, the calculation gives 7.2 meV per atom. The formation energy from raw total energies comes out at -0.17 eV/atom.

It has space group P1 (No. 1), with a = 4.3276 Å, b = 4.7009 Å, c = 7.6515 Å, α = 103.04°, β = 101.28° and γ = 98.89°. The distinct sites, in fractional coordinates, are Ga at (0.0000, 0.0000, 0.0000), Ag at (0.3286, 0.7268, 0.4577), As at (0.9455, 0.5069, 0.1447), Au at (0.4783, 0.7722, 0.0878) and Cl at (0.8786, 0.8964, 0.6724).


Q: Which formula does entry 2 have?
A: Tm2ZnCo2Ni5